# SmSc4In5 PBE optimized geometry
data_SmSc4In5
_chemical_formula_sum 'Sm1 Sc4 In5'
_space_group_name_H-M_alt 'P 1'
_space_group_IT_number 1
_cell_length_a 3.5918
_cell_length_b 3.5918
_cell_length_c 18.2954
_cell_angle_alpha 90.00
_cell_angle_beta 90.00
_cell_angle_gamma 90.00
loop_
_space_group_symop_operation_xyz
'x,y,z'
loop_
_atom_site_label
_atom_site_type_symbol
_atom_site_fract_x
_atom_site_fract_y
_atom_site_fract_z
Sm1 Sm 0.0000 0.0000 0.0000
Sc1 Sc 0.0000 0.0000 0.2123
Sc2 Sc 0.0000 0.0000 0.4044
Sc3 Sc 0.0000 0.0000 0.5956
Sc4 Sc 0.0000 0.0000 0.7877
In1 In 0.5000 0.5000 0.1159
In2 In 0.5000 0.5000 0.3084
In3 In 0.5000 0.5000 0.5000
In4 In 0.5000 0.5000 0.6916
In5 In 0.5000 0.5000 0.8841
# total magnetization	0.00	μB/f.u.
# energy	-4.802	eV/atom